Computed, not measured: a relaxed structure of MgCrSe4 at the PBE level of DFT.

a b c (Å): 5.746 5.746 5.746
angles (deg): 60.00 60.00 60.00
Positions (direct):
Mg  0.000  0.000  0.000
Cr  0.250  0.250  0.250
Se  0.125  0.625  0.625
Se  0.625  0.125  0.625
Se  0.625  0.625  0.125
Se  0.625  0.625  0.625

Output
total moment: 4.9 μB per cell
formation energy (no corrections): 0.492 eV per atom
final energy: -3.7008 eV/atom
symmetry: No. 216